La3CePr6 (GGA-PBE, relaxed); V = 353.1 Å³ per cell; calculated density = 6.595 g/cm³; formation energy from the elements = 0.203 eV per atom; space group = R3, No. 146; uncorrected energy = -4.74 eV/atom; crystal system = trigonal; N(E_F) = 19.97 states/eV per cell
1.0
5.058 2.920 3.983
-5.058 2.920 3.983
0.000 -5.841 3.983
La Ce Pr
3 1 6
Direct
0.000 0.000 0.000
0.247 0.247 0.247
0.535 0.535 0.535
0.765 0.765 0.765
0.119 0.482 0.777
0.296 0.989 0.643
0.482 0.777 0.119
0.643 0.296 0.989
0.777 0.119 0.482
0.989 0.643 0.296

CsNp2I7 (GGA-PBE, relaxed); V = 494.5 Å³ per cell; calculated density = 5.021 g/cm³; space group = Cmmm, No. 65; uncorrected energy = -4.71 eV/atom; crystal system = orthorhombic; formation energy from raw total energies = -0.96 eV per atom; N(E_F) = 21.60 states/eV per cell
1.0
4.968 -8.044 0.000
4.968 8.044 0.000
0.000 0.000 6.188
Cs Np I
1 2 7
Direct
0.000 0.000 0.000
0.304 0.696 0.500
0.696 0.304 0.500
0.047 0.327 0.500
0.299 0.701 0.000
0.327 0.047 0.500
0.500 0.500 0.500
0.673 0.953 0.500
0.701 0.299 0.000
0.953 0.673 0.500

N(E_F) of number 1 (La3CePr6)?
19.97 states/eV per cell

V of number 1 (La3CePr6)?
353.1 Å³ per cell

Which of these has the lowest V?
La3CePr6